Entry 1:
Computed, not measured: CaPm2Nd2Er2 after structural relaxation at the PBE-GGA level of DFT.

## Properties
formation energy from the elements = 0.05 eV per atom

a = 5.148 Å, b = 6.295 Å, c = 8.178 Å
α = 97.58°, β = 90.00°, γ = 114.14°
Positions (direct):
Er  0.575  0.150  0.704
Er  0.425  0.850  0.296
Nd  0.283  0.567  0.851
Nd  0.717  0.433  0.149
Pm  0.856  0.712  0.567
Pm  0.144  0.288  0.433
Ca  0.000  0.000  0.000

***

Entry 2:
Computed, not measured: Ce5SmBi6 after structural relaxation at the PBE-GGA level of DFT.

## Properties
formation energy from the elements = -0.81 eV per atom

a = 7.960 Å, b = 7.958 Å, c = 7.964 Å
α = 60.02°, β = 80.39°, γ = 70.49°
Positions (direct):
Bi  0.751  0.083  0.333
Bi  0.249  0.917  0.667
Bi  0.751  0.416  0.667
Bi  0.249  0.584  0.333
Bi  0.750  0.750  0.000
Bi  0.250  0.250  0.000
Sm  0.000  0.000  0.000
Ce  0.500  0.500  0.000
Ce  0.500  0.167  0.666
Ce  0.000  0.333  0.333
Ce  0.000  0.667  0.667
Ce  0.500  0.833  0.334

***

Entry 3:
Computed, not measured: Pr15Y4Sc after structural relaxation at the PBE-GGA level of DFT.

## Properties
formation energy from the elements = 0.01 eV per atom

a = 5.186 Å, b = 5.186 Å, c = 25.837 Å
α = 90.00°, β = 90.00°, γ = 90.00°
Positions (direct):
Pr  0.500  0.000  0.298
Pr  0.500  0.500  0.601
Pr  0.500  0.500  0.802
Pr  0.500  0.000  0.903
Pr  0.000  0.500  0.298
Pr  0.000  0.500  0.903
Pr  0.000  0.500  0.702
Pr  0.000  0.500  0.500
Pr  0.500  0.000  0.097
Pr  0.500  0.500  0.000
Pr  0.500  0.500  0.198
Pr  0.500  0.000  0.702
Pr  0.500  0.000  0.500
Pr  0.000  0.500  0.097
Pr  0.500  0.500  0.399
Y  0.000  0.000  0.198
Y  0.000  0.000  0.601
Y  0.000  0.000  0.399
Y  0.000  0.000  0.802
Sc  0.000  0.000  0.000

***

Entry 4:
Computed, not measured: BaPt2Au after structural relaxation at the PBE-GGA level of DFT.

## Properties
formation energy from the elements = 0.01 eV per atom
distance to the lowest polymorph of the same formula = 0.563 eV per atom

a = 5.007 Å, b = 5.007 Å, c = 5.007 Å
α = 60.00°, β = 60.00°, γ = 60.00°
Positions (direct):
Pt  0.250  0.250  0.250
Pt  0.750  0.750  0.750
Au  0.500  0.500  0.500
Ba  0.000  0.000  0.000

***

Entry 5:
Computed, not measured: YMnCo after structural relaxation at the PBE-GGA level of DFT.

## Properties
formation energy from the elements = 0.01 eV per atom
distance to the lowest polymorph of the same formula = 0.082 eV per atom

a = 3.866 Å, b = 3.866 Å, c = 4.177 Å
α = 90.00°, β = 90.00°, γ = 120.00°
Positions (direct):
Co  0.000  0.000  0.167
Mn  0.667  0.333  0.167
Y  0.333  0.667  0.667

***

Entry 6:
Computed, not measured: U2Si4IrPt3 after structural relaxation at the PBE-GGA level of DFT.

## Properties
formation energy (no corrections) = -0.776 eV per atom

a = 4.116 Å, b = 4.116 Å, c = 10.115 Å
α = 90.00°, β = 90.00°, γ = 90.00°
Positions (direct):
Pt  0.500  0.000  0.874
Pt  0.000  0.000  0.500
Pt  0.000  0.500  0.126
U  0.000  0.500  0.751
U  0.500  0.000  0.249
Ir  0.500  0.500  0.500
Si  0.500  0.500  0.000
Si  0.500  0.000  0.637
Si  0.000  0.000  0.000
Si  0.000  0.500  0.363

***

Entry 7:
Computed, not measured: PuMn3Si2 after structural relaxation at the PBE-GGA level of DFT.

## Properties
formation energy (no corrections) = -0.341 eV per atom

a = 4.000 Å, b = 6.935 Å, c = 7.402 Å
α = 114.42°, β = 90.00°, γ = 106.76°
Positions (direct):
Pu  0.154  0.309  0.068
Pu  0.846  0.691  0.932
Mn  0.418  0.836  0.352
Mn  0.032  0.065  0.363
Mn  0.309  0.619  0.528
Mn  0.582  0.164  0.648
Mn  0.968  0.935  0.637
Mn  0.691  0.381  0.472
Si  0.184  0.368  0.688
Si  0.816  0.632  0.312
Si  0.524  0.047  0.174
Si  0.476  0.953  0.826

***

Entry 8:
Computed, not measured: Sr3Pt5Pb6 after structural relaxation at the PBE-GGA level of DFT.

## Properties
formation energy from the elements = -0.48 eV per atom

a = 4.653 Å, b = 10.387 Å, c = 14.539 Å
α = 90.00°, β = 90.00°, γ = 90.00°
Positions (direct):
Sr  0.500  0.751  0.201
Sr  0.000  0.249  0.299
Sr  0.500  0.751  0.799
Sr  0.500  0.733  0.500
Sr  0.000  0.249  0.701
Sr  0.000  0.267  0.000
Pt  0.000  0.861  0.657
Pt  0.000  0.790  0.000
Pt  0.500  0.454  0.615
Pt  0.500  0.139  0.157
Pt  0.500  0.210  0.500
Pt  0.000  0.861  0.343
Pt  0.000  0.546  0.115
Pt  0.000  0.546  0.885
Pt  0.500  0.454  0.385
Pt  0.500  0.139  0.843
Pb  0.000  0.591  0.321
Pb  0.500  0.409  0.821
Pb  0.500  0.019  0.342
Pb  0.000  0.981  0.158
Pb  0.500  0.409  0.179
Pb  0.500  0.967  0.000
Pb  0.000  0.981  0.842
Pb  0.500  0.019  0.658
Pb  0.500  0.605  0.000
Pb  0.000  0.033  0.500
Pb  0.000  0.395  0.500
Pb  0.000  0.591  0.679

***

no.,D(E_F) (states/eV/atom)
1,1.444
2,2.781
3,1.306
4,0.718
5,1.481
6,1.687
7,1.854
8,0.388